# TlNi2 PBE-GGA optimized geometry
# size of the total moment	0.0	μB per formula unit
# formation enthalpy at 0 K	0.281	eV per atom
# DFT total energy	-52.34	eV/cell
# D(E_F)	11.63	states/eV per cell
# calculated density	12.03	g/cm³
data_TlNi2
_chemical_formula_sum 'Tl4 Ni8'
_cell_length_a 3.6880
_cell_length_b 12.0508
_cell_length_c 3.9978
_cell_angle_alpha 90.00
_cell_angle_beta 90.00
_cell_angle_gamma 90.00
_symmetry_space_group_name_H-M 'C m c m'
_symmetry_Int_Tables_number 63
_symmetry_space_group_name_Hall '-C 2c 2'
loop_
_atom_site_label
_atom_site_type_symbol
_atom_site_fract_x
_atom_site_fract_y
_atom_site_fract_z
Tl1 Tl 0.0000 0.0963 0.2500
Ni1 Ni 0.0000 0.2483 0.7500
Ni2 Ni 0.0000 0.4037 0.2500

# CaTlPb3 PBE-GGA optimized geometry
# size of the total moment	0.0	μB per formula unit
# formation enthalpy at 0 K	0.417	eV per atom
# DFT total energy	-13.41	eV/cell
# D(E_F)	4.89	states/eV per cell
# calculated density	7.01	g/cm³
# energy above the most stable polymorph in this dataset	2.51	eV/f.u.
data_CaTlPb3
_chemical_formula_sum 'Ca1 Tl1 Pb3'
_cell_length_a 5.8975
_cell_length_b 5.8975
_cell_length_c 5.8975
_cell_angle_alpha 90.00
_cell_angle_beta 90.00
_cell_angle_gamma 90.00
_symmetry_space_group_name_H-M 'P m -3 m'
_symmetry_Int_Tables_number 221
_symmetry_space_group_name_Hall '-P 4 2 3'
loop_
_atom_site_label
_atom_site_type_symbol
_atom_site_fract_x
_atom_site_fract_y
_atom_site_fract_z
Ca1 Ca 0.0000 0.0000 0.0000
Tl1 Tl 0.5000 0.5000 0.5000
Pb1 Pb 0.0000 0.0000 0.5000

# Sc4TlAg2Hg PBE-GGA optimized geometry
# size of the total moment	0.0	μB per formula unit
# formation enthalpy at 0 K	-0.327	eV per atom
# DFT total energy	-108.94	eV/cell
# D(E_F)	17.59	states/eV per cell
# calculated density	7.77	g/cm³
data_Sc4TlAg2Hg
_chemical_formula_sum 'Sc12 Tl3 Ag6 Hg3'
_cell_length_a 4.9466
_cell_length_b 4.9466
_cell_length_c 24.2346
_cell_angle_alpha 90.00
_cell_angle_beta 90.00
_cell_angle_gamma 120.00
_symmetry_space_group_name_H-M 'R -3 m'
_symmetry_Int_Tables_number 166
_symmetry_space_group_name_Hall '-R 3 2"'
loop_
_atom_site_label
_atom_site_type_symbol
_atom_site_fract_x
_atom_site_fract_y
_atom_site_fract_z
Sc1 Sc 0.0000 0.0000 0.1231
Sc2 Sc 0.0000 0.0000 0.3732
Tl1 Tl 0.0000 0.0000 0.5000
Ag1 Ag 0.0000 0.0000 0.2499
Hg1 Hg 0.0000 0.0000 0.0000

# EuGd2Dy PBE-GGA optimized geometry
# size of the total moment	8.0	μB per formula unit
# formation enthalpy at 0 K	0.137	eV per atom
# DFT total energy	-42.49	eV/cell
# D(E_F)	6.51	states/eV per cell
# calculated density	7.71	g/cm³
# energy above the most stable polymorph in this dataset	0.38	eV/f.u.
data_EuGd2Dy
_chemical_formula_sum 'Eu1 Gd2 Dy1'
_cell_length_a 5.8682
_cell_length_b 5.8682
_cell_length_c 3.9318
_cell_angle_alpha 90.00
_cell_angle_beta 90.00
_cell_angle_gamma 90.00
_symmetry_space_group_name_H-M 'P 4/m m m'
_symmetry_Int_Tables_number 123
_symmetry_space_group_name_Hall '-P 4 2'
loop_
_atom_site_label
_atom_site_type_symbol
_atom_site_fract_x
_atom_site_fract_y
_atom_site_fract_z
Eu1 Eu 0.0000 0.0000 0.0000
Gd1 Gd 0.0000 0.5000 0.5000
Dy1 Dy 0.5000 0.5000 0.0000

# GdPuMg2 PBE-GGA optimized geometry
# size of the total moment	13.5	μB per formula unit
# formation enthalpy at 0 K	0.119	eV per atom
# DFT total energy	-31.13	eV/cell
# D(E_F)	13.38	states/eV per cell
# calculated density	6.92	g/cm³
# energy above the most stable polymorph in this dataset	0.13	eV/f.u.
data_GdPuMg2
_chemical_formula_sum 'Gd1 Pu1 Mg2'
_cell_length_a 4.6528
_cell_length_b 4.6528
_cell_length_c 4.9896
_cell_angle_alpha 90.00
_cell_angle_beta 90.00
_cell_angle_gamma 90.00
_symmetry_space_group_name_H-M 'P 4/m m m'
_symmetry_Int_Tables_number 123
_symmetry_space_group_name_Hall '-P 4 2'
loop_
_atom_site_label
_atom_site_type_symbol
_atom_site_fract_x
_atom_site_fract_y
_atom_site_fract_z
Gd1 Gd 0.0000 0.0000 0.0000
Pu1 Pu 0.5000 0.5000 0.0000
Mg1 Mg 0.0000 0.5000 0.5000

# La4H2Se5 PBE-GGA optimized geometry
# size of the total moment	0.0	μB per formula unit
# DFT total energy	-122.02	eV/cell
# calculated density	5.28	g/cm³
data_La4H2Se5
_chemical_formula_sum 'La8 H4 Se10'
_cell_length_a 17.1808
_cell_length_b 4.3637
_cell_length_c 8.0661
_cell_angle_alpha 90.00
_cell_angle_beta 97.58
_cell_angle_gamma 90.00
_symmetry_space_group_name_H-M 'C 1 2/m 1'
_symmetry_Int_Tables_number 12
loop_
_symmetry_equiv_pos_as_xyz
'x,y,z'
'-x,-y,-z'
'-x,y,-z'
'x,-y,z'
'x+1/2,y+1/2,z'
'-x+1/2,-y+1/2,-z'
'-x+1/2,y+1/2,-z'
'x+1/2,-y+1/2,z'
loop_
_atom_site_label
_atom_site_type_symbol
_atom_site_fract_x
_atom_site_fract_y
_atom_site_fract_z
La1 La 0.0175 0.0000 0.2555
La2 La 0.2138 0.5000 0.2321
H1 H 0.0724 0.5000 0.1979
Se1 Se 0.0000 0.5000 0.5000
Se2 Se 0.1422 0.0000 0.9798
Se3 Se 0.1701 0.0000 0.4534

# SnRh2O PBE-GGA optimized geometry
# size of the total moment	2.0	μB per formula unit
# DFT total energy	-92.60	eV/cell
# raw formation energy	0.51	eV/f.u.
# D(E_F)	15.16	states/eV per cell
# calculated density	9.64	g/cm³
# energy above the most stable polymorph in this dataset	1.25	eV/f.u.
data_SnRh2O
_chemical_formula_sum 'Sn4 Rh8 O4'
_cell_length_a 6.1681
_cell_length_b 6.1681
_cell_length_c 6.1681
_cell_angle_alpha 90.00
_cell_angle_beta 90.00
_cell_angle_gamma 90.00
_symmetry_space_group_name_H-M 'F m -3 m'
_symmetry_Int_Tables_number 225
_symmetry_space_group_name_Hall '-F 4 2 3'
loop_
_atom_site_label
_atom_site_type_symbol
_atom_site_fract_x
_atom_site_fract_y
_atom_site_fract_z
Sn1 Sn 0.0000 0.0000 0.0000
Rh1 Rh 0.2500 0.2500 0.2500
O1 O 0.0000 0.0000 0.5000

# TaSbP3 PBE-GGA optimized geometry
# size of the total moment	0.0	μB per formula unit
# DFT total energy	-24.16	eV/cell
# raw formation energy	8.04	eV/f.u.
# D(E_F)	4.79	states/eV per cell
# calculated density	5.77	g/cm³
# energy above the most stable polymorph in this dataset	5.77	eV/f.u.
data_TaSbP3
_chemical_formula_sum 'Ta1 Sb1 P3'
_cell_length_a 4.8456
_cell_length_b 4.8456
_cell_length_c 4.8456
_cell_angle_alpha 90.00
_cell_angle_beta 90.00
_cell_angle_gamma 90.00
_symmetry_space_group_name_H-M 'P m -3 m'
_symmetry_Int_Tables_number 221
_symmetry_space_group_name_Hall '-P 4 2 3'
loop_
_atom_site_label
_atom_site_type_symbol
_atom_site_fract_x
_atom_site_fract_y
_atom_site_fract_z
Ta1 Ta 0.0000 0.0000 0.0000
Sb1 Sb 0.5000 0.5000 0.5000
P1 P 0.0000 0.5000 0.5000

Question: Look up the DFT total energy of the fourth one.
Answer: -42.49 eV/cell